Record 1
9
Lattice="-4.863 4.863 1.612 4.863 -4.863 1.612 4.863 4.863 -1.612" Properties=species:S:1:pos:R:3 comment="Nb4W5, optimized geometry, DFT PBE" e_tot_ev_per_atom=-11.73 pbc="T T T"
Nb 3.191 0.000 0.000
Nb 6.535 0.000 0.000
Nb 0.000 3.191 0.000
Nb 0.000 6.535 0.000
W 0.000 0.000 0.000
W 3.247 3.247 0.000
W 1.616 -1.616 1.612
W -1.616 1.616 1.612
W 1.616 1.616 1.612



Record 2
2
Lattice="1.615 -2.290 0.000 1.615 2.290 0.000 0.000 0.000 4.590" Properties=species:S:1:pos:R:3 comment="NbW, optimized geometry, DFT PBE" e_tot_ev_per_atom=-11.56 pbc="T T T"
Nb 0.000 0.000 0.000
W 1.615 0.000 2.295



Record 3
4
Lattice="3.232 0.000 0.000 0.000 3.232 0.000 0.000 0.000 6.524" Properties=species:S:1:pos:R:3 comment="NbW, optimized geometry, DFT PBE" e_tot_ev_per_atom=-11.57 pbc="T T T"
Nb 0.808 0.808 0.846
Nb 2.424 2.424 5.678
W 0.808 0.808 4.039
W 2.424 2.424 2.485



Record 4
8
Lattice="-4.069 4.069 4.069 4.069 -4.069 4.069 4.069 4.069 -4.069" Properties=species:S:1:pos:R:3 comment="NbW, optimized geometry, DFT PBE" e_tot_ev_per_atom=-9.15 pbc="T T T"
Nb 2.623 2.623 -2.623
Nb 2.623 -2.623 2.623
Nb 1.446 1.446 1.446
Nb -2.623 2.623 2.623
W 1.017 1.017 -1.017
W 1.017 -1.017 1.017
W -1.017 1.017 1.017
W 3.052 3.052 3.052



Record 5
2
Lattice="0.000 2.681 2.681 2.681 0.000 2.681 2.681 2.681 0.000" Properties=species:S:1:pos:R:3 comment="NbW, optimized geometry, DFT PBE" e_tot_ev_per_atom=-10.37 pbc="T T T"
Nb 0.000 0.000 0.000
W 2.681 2.681 2.681



Record 6
12
Lattice="8.905 0.000 0.000 -4.453 7.712 0.000 0.000 0.000 3.222" Properties=species:S:1:pos:R:3 comment="NbW, optimized geometry, DFT PBE" e_tot_ev_per_atom=-11.05 pbc="T T T"
Nb -2.449 6.442 0.805
Nb 0.098 2.370 0.805
Nb 2.102 1.100 2.416
Nb 2.351 6.612 0.805
Nb 4.354 5.342 2.416
Nb 6.902 1.270 2.416
W -1.261 4.254 2.416
W -0.138 6.677 2.416
W 1.399 4.493 2.416
W 3.053 3.219 0.805
W 4.591 1.035 0.805
W 5.714 3.458 0.805